Record 1
Here is a relaxed Pr4Y5Tm crystal from the Alexandria database. Energies are from PBE-GGA.

extended XYZ file:
```
10
Lattice="4.1994 0.0000 0.0000 0.0000 4.1994 0.0000 0.0000 0.0000 19.1595" Properties=species:S:1:pos:R:3 pbc="T T T"
Pr 0.0000 0.0000 1.9379
Pr 0.0000 0.0000 5.7866
Pr 0.0000 0.0000 13.3730
Pr 0.0000 0.0000 17.2216
Y 2.0997 2.0997 0.0000
Y 2.0997 2.0997 3.8563
Y 2.0997 2.0997 7.7599
Y 2.0997 2.0997 11.3996
Y 2.0997 2.0997 15.3032
Tm 0.0000 0.0000 9.5798
```

Values from the calculation:
As for the crystal system: tetragonal. The spin magnetization comes out at 0.0000 μB/atom. As for the symmetry: P4/mmm (123).

---

Record 2
Here is a relaxed PrY5Tm6 crystal from the Alexandria database. Energies are from PBE-GGA.

extended XYZ file:
```
12
Lattice="3.0679 -5.3093 0.0000 3.0679 5.3093 0.0000 -2.0409 0.0000 11.5564" Properties=species:S:1:pos:R:3 pbc="T T T"
Pr 0.0000 0.0000 0.0000
Y 2.0475 3.5360 5.7782
Y 3.0679 1.7700 0.0000
Y 2.0475 0.0000 5.7782
Y 3.0679 -1.7700 0.0000
Y 2.0475 -3.5360 5.7782
Tm 1.0213 1.7697 2.9051
Tm 0.0058 0.0000 8.6533
Tm 1.0213 -1.7697 2.9051
Tm 3.0737 1.7697 8.6513
Tm 4.0892 0.0000 2.9031
Tm 3.0737 -1.7697 8.6513
```

Values from the calculation:
As for the crystal system: monoclinic. The spin magnetization comes out at 0.0000 μB/atom. As for the symmetry: C2/m (12).

---

Record 3
Here is a relaxed Pr2Y2Tm3 crystal from the Alexandria database. Energies are from PBE-GGA.

extended XYZ file:
```
7
Lattice="6.3001 0.0000 0.0000 0.0000 3.5625 0.0000 -0.1766 0.0000 10.7389" Properties=species:S:1:pos:R:3 pbc="T T T"
Pr -0.0046 0.0000 3.3438
Pr 6.1280 0.0000 7.3951
Y 2.9678 1.7812 8.2937
Y 3.1556 1.7812 2.4452
Tm 1.5559 0.0000 0.0004
Tm 3.0617 0.0000 5.3695
Tm 4.5675 0.0000 10.7385
```

Values from the calculation:
As for the crystal system: monoclinic. The spin magnetization comes out at 0.0012 μB/atom. As for the symmetry: P2/m (10).

---

Record 4
Here is a relaxed PrY4Tm crystal from the Alexandria database. Energies are from PBE-GGA.

extended XYZ file:
```
6
Lattice="4.5626 0.0000 0.0000 0.0000 4.5626 0.0000 0.0000 0.0000 11.0628" Properties=species:S:1:pos:R:3 pbc="T T T"
Pr 0.0000 0.0000 0.0000
Y 0.0000 2.2813 2.8329
Y 0.0000 2.2813 8.2299
Y 2.2813 0.0000 2.8329
Y 2.2813 0.0000 8.2299
Tm 2.2813 2.2813 5.5314
```

Values from the calculation:
As for the crystal system: tetragonal. The spin magnetization comes out at 0.0000 μB/atom. As for the symmetry: P4/mmm (123).

---

Record 5
Here is a relaxed Pr2Y4Tm crystal from the Alexandria database. Energies are from PBE-GGA.

extended XYZ file:
```
7
Lattice="-4.2485 4.2485 3.2952 4.2485 -4.2485 3.2952 4.2485 4.2485 -3.2952" Properties=species:S:1:pos:R:3 pbc="T T T"
Pr 4.2485 0.0000 1.6476
Pr 0.0000 4.2485 1.6476
Y 1.6936 1.6936 0.0000
Y 2.5549 -2.5549 3.2952
Y -2.5549 2.5549 3.2952
Y 2.5549 2.5549 3.2952
Tm 0.0000 0.0000 3.2952
```

Values from the calculation:
As for the crystal system: tetragonal. The spin magnetization comes out at 0.0001 μB/atom. As for the symmetry: I4/mmm (139).

---

Record 6
Here is a relaxed Pr7Y2Tm3 crystal from the Alexandria database. Energies are from PBE-GGA.

extended XYZ file:
```
12
Lattice="6.5115 0.0000 0.0000 0.0000 3.5793 0.0000 -1.7763 0.0000 17.5493" Properties=species:S:1:pos:R:3 pbc="T T T"
Pr 0.0000 0.0000 0.0000
Pr 1.1731 1.7897 3.0395
Pr 0.8089 1.7897 8.6628
Pr 0.3288 0.0000 14.6357
Pr 4.4065 0.0000 2.9136
Pr 3.9264 1.7897 8.8865
Pr 3.5621 1.7897 14.5098
Y -0.8034 1.7897 11.7571
Y 5.5386 1.7897 5.7922
Tm 2.3680 0.0000 5.9828
Tm 3.2558 1.7897 0.0000
Tm 2.3672 0.0000 11.5665
```

Values from the calculation:
As for the crystal system: monoclinic. The spin magnetization comes out at 0.0000 μB/atom. As for the symmetry: P2/m (10).

---

Record 7
Here is a relaxed PrY5Tm7 crystal from the Alexandria database. Energies are from PBE-GGA.

extended XYZ file:
```
13
Lattice="-3.3663 5.4944 5.7577 3.3663 -5.4944 5.7577 3.3663 5.4944 -5.7577" Properties=species:S:1:pos:R:3 pbc="T T T"
Pr 0.0000 0.0000 0.0000
Y 1.5654 2.4839 2.3569
Y 5.1673 2.4839 2.3569
Y 0.0000 5.4944 2.3252
Y -1.8010 3.0105 8.1146
Y 1.8010 3.0105 8.1146
Tm 3.3663 1.8735 -0.5230
Tm 3.3663 0.0000 2.3570
Tm 3.3663 -1.8587 5.2067
Tm 0.0000 0.0000 4.5717
Tm 3.3663 1.8587 5.2067
Tm 0.0000 0.0000 8.0575
Tm 0.0000 3.6210 5.2346
```

Values from the calculation:
As for the crystal system: orthorhombic. The spin magnetization comes out at 0.0002 μB/atom. As for the symmetry: Imm2 (44).

---

Record 8
Here is a relaxed Pr2Y5Tm2 crystal from the Alexandria database. Energies are from PBE-GGA.

extended XYZ file:
```
9
Lattice="6.2018 0.0000 0.0000 -3.0991 5.3758 0.0000 -0.0018 -3.5623 8.7864" Properties=species:S:1:pos:R:3 pbc="T T T"
Pr -1.0344 1.7878 1.5017
Pr 4.1353 0.0257 7.2846
Y 1.0267 -1.7706 7.2971
Y 2.0656 0.0093 1.4936
Y 3.1000 -1.7812 4.3932
Y 1.0353 1.8042 7.2927
Y 2.0742 3.5841 1.4893
Tm 0.0028 0.0119 4.3930
Tm 3.0981 1.8016 4.3934
```

Values from the calculation:
As for the crystal system: triclinic. The spin magnetization comes out at 0.0000 μB/atom. As for the symmetry: P-1 (2).

---

Record 9
Here is a relaxed Pr2Y6Tm3 crystal from the Alexandria database. Energies are from PBE-GGA.

extended XYZ file:
```
11
Lattice="-2.3700 2.3700 16.7718 2.3700 -2.3700 16.7718 2.3700 2.3700 -16.7718" Properties=species:S:1:pos:R:3 pbc="T T T"
Pr 0.0000 0.0000 1.5335
Pr 0.0000 0.0000 32.0100
Y 2.3700 0.0000 4.1148
Y 0.0000 0.0000 6.6677
Y 2.3700 0.0000 12.6569
Y 0.0000 2.3700 4.1148
Y 0.0000 0.0000 26.8758
Y 0.0000 2.3700 12.6569
Tm 0.0000 0.0000 10.0865
Tm 0.0000 0.0000 16.7718
Tm 0.0000 0.0000 23.4570
```

Values from the calculation:
As for the crystal system: tetragonal. The spin magnetization comes out at 0.0000 μB/atom. As for the symmetry: I4/mmm (139).

---

Record 10
Here is a relaxed PrY3Tm7 crystal from the Alexandria database. Energies are from PBE-GGA.

extended XYZ file:
```
11
Lattice="6.9319 0.0000 0.0000 0.0000 5.4981 0.0000 -3.3582 0.0000 9.2739" Properties=species:S:1:pos:R:3 pbc="T T T"
Pr 0.0000 0.0000 0.0000
Y 0.2524 2.7491 4.6039
Y 3.4660 0.0000 0.0000
Y 3.3213 2.7491 4.6700
Tm -1.6791 0.0000 4.6369
Tm -1.6269 2.7491 7.3369
Tm 1.7685 2.7491 1.3317
Tm 1.8249 0.0000 3.0784
Tm 1.7488 0.0000 6.1955
Tm 1.8052 2.7491 7.9422
Tm 5.2006 2.7491 1.9370
```

Values from the calculation:
As for the crystal system: monoclinic. The spin magnetization comes out at 0.0000 μB/atom. As for the symmetry: P2/m (10).

---

Record 11
Here is a relaxed Pr15Y4Tm crystal from the Alexandria database. Energies are from PBE-GGA.

extended XYZ file:
```
20
Lattice="5.2041 0.0000 0.0000 0.0000 5.2041 0.0000 0.0000 0.0000 25.8986" Properties=species:S:1:pos:R:3 pbc="T T T"
Pr 0.0000 0.0000 0.0000
Pr 0.0000 0.0000 5.1635
Pr 0.0000 0.0000 10.3577
Pr 0.0000 0.0000 15.5409
Pr 0.0000 0.0000 20.7351
Pr 0.0000 2.6020 2.5681
Pr 0.0000 2.6020 7.7624
Pr 0.0000 2.6020 12.9493
Pr 0.0000 2.6020 18.1362
Pr 0.0000 2.6020 23.3305
Pr 2.6020 0.0000 2.5681
Pr 2.6020 0.0000 7.7624
Pr 2.6020 0.0000 12.9493
Pr 2.6020 0.0000 18.1362
Pr 2.6020 0.0000 23.3305
Y 2.6020 2.6020 5.1669
Y 2.6020 2.6020 10.3573
Y 2.6020 2.6020 15.5413
Y 2.6020 2.6020 20.7316
Tm 2.6020 2.6020 0.0000
```

Values from the calculation:
As for the crystal system: tetragonal. The spin magnetization comes out at 0.0000 μB/atom. As for the symmetry: P4/mmm (123).

---

Record 12
Here is a relaxed PrY6Tm8 crystal from the Alexandria database. Energies are from PBE-GGA.

extended XYZ file:
```
15
Lattice="9.4375 0.0000 0.0000 -4.7187 8.1731 0.0000 0.0000 0.0000 6.3978" Properties=species:S:1:pos:R:3 pbc="T T T"
Pr 0.0000 0.0000 0.0000
Y -2.2215 5.5918 0.5496
Y 0.9869 3.4533 0.5496
Y 3.4841 0.8720 5.8481
Y 1.2346 7.3011 0.5496
Y 3.7319 4.7198 5.8481
Y 6.9403 2.5813 5.8481
Tm -1.3812 2.7578 2.6373
Tm -1.6398 7.9903 2.6373
Tm 0.0000 5.4487 4.1457
Tm 1.6977 2.5751 3.7605
Tm 3.0210 5.5980 2.6373
Tm 4.7187 2.7244 2.2521
Tm 6.3585 0.1827 3.7605
Tm 6.1000 5.4152 3.7605
```

Values from the calculation:
As for the crystal system: trigonal. The spin magnetization comes out at 0.0000 μB/atom. As for the symmetry: P-3 (147).

---

In the order shown, the computed ΔH_f (0 K) values come out to 93.0; 28.1; 226.3; 663.1; 273.4; 69.6; 270.2; 21.8; 285.1; 166.3; 6.8; 227.6 meV/atom.
In the order shown, the computed energy values come out to -0.202; -0.195; -0.180; -0.191; -0.199; -0.181; -0.183; -0.207; -0.196; -0.179; -0.187; -0.186 hartree per atom.